Entry from Alexandria via LeMat-Bulk: a relaxed structure of NaSnS2I (PBE-GGA).

Computed properties:
ΔE_f (raw): 493 meV/atom
VASP energy: -12.660 eV for the cell shown
DOS at the Fermi energy: 4.8 states/eV per cell

a = 5.2745 Å, b = 5.2745 Å, c = 5.8803 Å
α = 90.00°, β = 90.00°, γ = 90.00°
Space group P4/mmm (No. 123)
One atom of each set of equivalent atoms:
Na: 0.0000 0.0000 0.0000 x1
Sn: 0.5000 0.5000 0.0000 x1
S: 0.0000 0.5000 0.5000 x2
I: 0.5000 0.5000 0.5000 x1